No. 1
The following is a DFT calculation (GGA-PBE) of crystalline TlCr2Re at its relaxed geometry.

Computed properties:
Density of states at the Fermi level   3.8 states/eV per cell
Offset from the most stable computed form   0.180 eV per atom
M_tot   0.0691 μB/atom
Calculated formation energy   2.60 eV per formula unit
DFT total energy   -7.8641 eV per atom

a b c (Å): 5.2417 5.2417 5.2417
angles (deg): 146.33 129.05 62.47
Closest atoms and distances in Å follow each position.
Sites, in units of the cell vectors:
Tl1 0.2442 0.7442 0.5000  6 Cr 2.72-2.84, 4 Re 2.92-3.01, 2 Tl 3.04
Cr1 0.7577 0.2577 0.5000  2 Cr 2.48, 2 Re 2.60, 4 Tl 2.72
Cr2 0.9758 0.9758 0.0000  2 Cr 2.48, 4 Re 2.75
Re1 0.5223 0.5223 0.0000  6 Cr 2.60-2.75

=====

No. 2
The following is a DFT calculation (GGA-PBE) of crystalline GeHRh3 at its relaxed geometry.

Computed properties:
Density of states at the Fermi level   1.6 states/eV per cell
Offset from the most stable computed form   0.000 eV per atom
M_tot   0.0000 μB/atom
DFT total energy   -6.2584 eV per atom

a b c (Å): 3.9058 3.9058 3.9058
angles (deg): 90.00 90.00 90.00
Closest atoms and distances in Å follow each position.
Sites, in units of the cell vectors:
Rh1 0.5000 0.0000 0.0000  2 H 1.95
H1 0.0000 0.0000 0.0000  6 Rh 1.95
Rh2 0.0000 0.5000 0.0000  2 H 1.95
Rh3 0.0000 0.0000 0.5000  2 H 1.95
Ge1 0.5000 0.5000 0.5000  12 Rh 2.76

=====

No. 3
The following is a DFT calculation (GGA-PBE) of crystalline Sm4TlCd3 at its relaxed geometry.

Computed properties:
Density of states at the Fermi level   7.7 states/eV per cell
Offset from the most stable computed form   0.053 eV per atom
M_tot   0.0000 μB/atom
Calculated formation energy   -2.24 eV per formula unit
DFT total energy   -3.2786 eV per atom

a b c (Å): 3.6951 4.9723 12.3826
angles (deg): 90.00 90.00 90.00
Closest atoms and distances in Å follow each position.
Sites, in units of the cell vectors:
Cd1 0.0000 0.0000 0.4283  2 Cd 3.05, 7 Sm 3.27-3.39
Sm1 0.0000 0.0000 0.1587  4 Tl 3.26, 3 Cd 3.34-3.44
Tl1 0.5000 0.5000 0.0759  2 Cd 3.12, 7 Sm 3.26-3.46
Cd2 0.5000 0.0000 0.9242  2 Tl 3.12, 7 Sm 3.27-3.44
Cd3 0.0000 0.5000 0.5714  2 Cd 3.05, 7 Sm 3.28-3.37
Sm2 0.5000 0.5000 0.3436  6 Cd 3.27-3.37, 1 Tl 3.31
Sm3 0.0000 0.5000 0.8397  5 Cd 3.27-3.32, 2 Tl 3.46
Sm4 0.5000 0.0000 0.6582  7 Cd 3.28-3.39

=====

No. 4
The following is a DFT calculation (GGA-PBE) of crystalline YSbRh at its relaxed geometry.

Computed properties:
Density of states at the Fermi level   1.7 states/eV per cell
Formation energy without anion corrections   -53.36 kJ/mol of atoms
M_tot   0.0000 μB/atom
DFT total energy   -6.5324 eV per atom

a b c (Å): 5.2954 5.2954 5.2954
angles (deg): 140.01 134.40 62.23
Closest atoms and distances in Å follow each position.
Sites, in units of the cell vectors:
Y1 0.6518 0.6518 0.0000  5 Sb 2.95-3.16, 4 Rh 2.98
Sb1 0.3267 0.3267 0.0000  1 Rh 2.77, 1 Y 2.95
Rh1 0.0215 0.0215 0.0000  1 Sb 2.77, 4 Y 2.98

=====

No. 5
The following is a DFT calculation (GGA-PBE) of crystalline Sb3Pd7Se2 at its relaxed geometry.

Computed properties:
Density of states at the Fermi level   9.0 states/eV per cell
Formation energy without anion corrections   -29.59 kJ/mol of atoms
M_tot   0.0000 μB/atom
DFT total energy   -4.9472 eV per atom

a b c (Å): 3.9969 4.1867 14.1493
angles (deg): 98.51 90.00 90.00
Closest atoms and distances in Å follow each position.
Sites, in units of the cell vectors:
Sb1 0.5000 0.2931 0.5863  6 Pd 2.91-2.93, 2 Sb 3.20
Pd1 0.0000 0.4286 0.8572  2 Se 2.58, 2 Sb 2.83
Pd2 0.0000 0.5714 0.1428  2 Se 2.58, 2 Sb 2.83
Se1 0.0000 0.1250 0.2500  5 Pd 2.51-2.58
Sb2 0.5000 0.7069 0.4137  6 Pd 2.91-2.93, 2 Sb 3.20
Pd3 0.0000 0.2165 0.4331  1 Se 2.56, 2 Pd 2.81
Pd4 0.0000 0.0000 0.0000  8 Pd 2.82-2.89, 4 Sb 2.89
Pd5 0.0000 0.7835 0.5669  1 Se 2.56, 2 Pd 2.81
Se2 0.0000 0.8750 0.7500  5 Pd 2.51-2.58
Pd6 0.5000 0.9290 0.8580  2 Se 2.51
Sb3 0.5000 0.5000 0.0000  12 Pd 2.83-2.89
Pd7 0.5000 0.0710 0.1420  2 Se 2.51

=====

No. 6
The following is a DFT calculation (GGA-PBE) of crystalline Ac2CeTmSb4 at its relaxed geometry.

Computed properties:
Density of states at the Fermi level   6.7 states/eV per cell
Formation energy without anion corrections   -107.52 kJ/mol of atoms
M_tot   0.0907 μB/atom
DFT total energy   -5.5033 eV per atom

a b c (Å): 4.6152 7.9766 7.9931
angles (deg): 109.47 90.00 90.00
Closest atoms and distances in Å follow each position.
Sites, in units of the cell vectors:
Sb1 0.5000 0.7530 0.7715  1 Tm 3.14, 2 Ce 3.18, 3 Ac 3.34-3.38
Sb2 0.0000 0.7381 0.2259  2 Tm 3.15, 1 Ce 3.18, 3 Ac 3.34-3.38
Sb3 0.0000 0.2619 0.7741  2 Tm 3.15, 1 Ce 3.18, 3 Ac 3.34-3.38
Ce1 0.0000 0.0000 0.0000  6 Sb 3.18
Sb4 0.5000 0.2470 0.2285  1 Tm 3.14, 2 Ce 3.18, 3 Ac 3.34-3.38
Tm1 0.5000 0.5000 0.0000  6 Sb 3.14-3.15
Ac1 0.0000 0.5000 0.5000  6 Sb 3.34
Ac2 0.5000 0.0000 0.5000  6 Sb 3.38

=====

No. 7
The following is a DFT calculation (GGA-PBE) of crystalline Dy3Ho4Co4 at its relaxed geometry.

Computed properties:
Density of states at the Fermi level   8.8 states/eV per cell
M_tot   0.0002 μB/atom
Calculated formation energy   -1.12 eV per formula unit
DFT total energy   -5.6059 eV per atom

a b c (Å): 3.5977 8.7461 9.0631
angles (deg): 118.85 101.45 90.00
Closest atoms and distances in Å follow each position.
Sites, in units of the cell vectors:
Ho1 0.6657 0.4803 0.3313  3 Co 2.71-2.76
Dy1 0.8966 0.8966 0.7933  6 Co 2.88-3.05, 1 Dy 3.20
Co1 0.2513 0.7513 0.5025  6 Ho 2.76-3.04, 2 Dy 2.88
Ho2 0.3343 0.1490 0.6687  3 Co 2.71-2.76
Ho3 0.3343 0.5197 0.6687  3 Co 2.71-2.76
Co2 0.5000 0.2144 0.0000  2 Ho 2.71
Dy2 0.1034 0.1034 0.2067  6 Co 2.88-3.05, 1 Dy 3.20
Ho4 0.6657 0.8510 0.3313  3 Co 2.71-2.76
Co3 0.7487 0.2487 0.4975  6 Ho 2.76-3.04, 2 Dy 2.88
Co4 0.5000 0.7856 0.0000  2 Ho 2.71
Dy3 0.0000 0.5000 0.0000  4 Co 3.08

=====

No. 8
The following is a DFT calculation (GGA-PBE) of crystalline Mn2CoRe at its relaxed geometry.

Computed properties:
Density of states at the Fermi level   4.9 states/eV per cell
M_tot   1.4068 μB/atom
Calculated formation energy   0.50 eV per formula unit
DFT total energy   -9.3478 eV per atom

a b c (Å): 4.0766 2.5687 4.8487
angles (deg): 80.72 90.00 90.00
Closest atoms and distances in Å follow each position.
Sites, in units of the cell vectors:
Re1 0.5000 0.2500 0.2500  4 Mn 2.53, 2 Co 2.55, 2 Re 2.57
Mn1 0.0000 0.5121 0.5064  2 Co 2.48, 4 Mn 2.52-2.59, 2 Re 2.53
Co1 0.5000 0.7500 0.7500  4 Mn 2.48, 2 Re 2.55, 2 Co 2.57
Mn2 0.0000 0.9879 0.9936  2 Co 2.48, 4 Mn 2.52-2.59, 2 Re 2.53

=====

No. 9
The following is a DFT calculation (GGA-PBE) of crystalline RbNaTi2Ga at its relaxed geometry.

Computed properties:
Density of states at the Fermi level   6.8 states/eV per cell
M_tot   1.0058 μB/atom
Calculated formation energy   3.60 eV per formula unit
DFT total energy   -3.4999 eV per atom

a b c (Å): 5.1493 5.9338 5.1493
angles (deg): 90.00 90.00 90.00
Closest atoms and distances in Å follow each position.
Sites, in units of the cell vectors:
Rb1 0.5000 0.5000 0.5000  4 Na 3.64, 8 Ti 3.93
Na1 0.0000 0.5000 0.0000  2 Ga 2.97
Ga1 0.0000 0.0000 0.0000  4 Ti 2.57
Ti1 0.5000 0.0000 0.0000  2 Ga 2.57
Ti2 0.0000 0.0000 0.5000  2 Ga 2.57

=====

No. 10
The following is a DFT calculation (GGA-PBE) of crystalline CaAl6 at its relaxed geometry.

Computed properties:
Density of states at the Fermi level   7.3 states/eV per cell
Offset from the most stable computed form   0.000 eV per atom
M_tot   0.0000 μB/atom
Calculated formation energy   -0.58 eV per formula unit
DFT total energy   -3.5771 eV per atom

a b c (Å): 5.9223 5.9223 8.0393
angles (deg): 90.00 90.00 90.00
Closest atoms and distances in Å follow each position.
Sites, in units of the cell vectors:
Al1 0.3242 0.8242 0.3573  3 Al 2.61-2.69
Al2 0.8242 0.6758 0.3573  3 Al 2.61-2.69
Al3 0.3242 0.1758 0.6427  3 Al 2.61-2.69
Al4 0.1758 0.3242 0.3573  3 Al 2.61-2.69
Al5 0.8242 0.3242 0.6427  3 Al 2.61-2.69
Al6 0.1758 0.6758 0.6427  3 Al 2.61-2.69
Al7 0.5000 0.5000 0.1617  5 Al 2.60-2.69
Al8 0.6758 0.8242 0.6427  3 Al 2.61-2.69
Al9 0.0000 0.0000 0.8383  5 Al 2.60-2.69
Al10 0.5000 0.5000 0.8383  5 Al 2.60-2.69
Ca1 0.0000 0.5000 0.0000  12 Al 3.23
Al11 0.6758 0.1758 0.3573  3 Al 2.61-2.69
Al12 0.0000 0.0000 0.1617  5 Al 2.60-2.69
Ca2 0.5000 0.0000 0.0000  12 Al 3.23

=====

No. 11
The following is a DFT calculation (GGA-PBE) of crystalline AcInAu at its relaxed geometry.

Computed properties:
Density of states at the Fermi level   2.8 states/eV per cell
Offset from the most stable computed form   0.052 eV per atom
M_tot   0.0000 μB/atom
Calculated formation energy   -2.00 eV per formula unit
DFT total energy   -4.0415 eV per atom

a b c (Å): 4.0471 4.9501 4.9501
angles (deg): 120.00 90.00 90.00
Closest atoms and distances in Å follow each position.
Sites, in units of the cell vectors:
Au1 0.1668 0.0000 0.0000  3 In 2.86
Ac1 0.6667 0.6667 0.3333  6 In 3.50, 6 Au 3.50
In1 0.1665 0.3333 0.6667  3 Au 2.86

=====

No. 12
The following is a DFT calculation (GGA-PBE) of crystalline BaLaRe2 at its relaxed geometry.

Computed properties:
Density of states at the Fermi level   2.8 states/eV per cell
Offset from the most stable computed form   0.370 eV per atom
M_tot   0.0000 μB/atom
Calculated formation energy   2.49 eV per formula unit
DFT total energy   -7.3142 eV per atom

a b c (Å): 5.6894 5.6896 4.1851
angles (deg): 111.69 111.69 103.77
Closest atoms and distances in Å follow each position.
Sites, in units of the cell vectors:
Re1 0.1885 0.8115 0.5000  2 Re 2.41
Ba1 0.4724 0.5276 0.0000  4 La 3.28-3.48, 8 Re 3.29-3.59
Re2 0.0560 0.9440 0.0000  2 Re 2.41
La1 0.7830 0.2170 0.5000  6 Re 3.22-3.60, 4 Ba 3.28-3.48

=====

No. 13
The following is a DFT calculation (GGA-PBE) of crystalline CoPBr2 at its relaxed geometry.

Computed properties:
Density of states at the Fermi level   4.9 states/eV per cell
Offset from the most stable computed form   1.286 eV per atom
Formation energy without anion corrections   92.11 kJ/mol of atoms
M_tot   0.3348 μB/atom
DFT total energy   -3.0108 eV per atom

a b c (Å): 4.7398 4.7398 4.7398
angles (deg): 60.00 60.00 60.00
Closest atoms and distances in Å follow each position.
Sites, in units of the cell vectors:
Co1 0.5000 0.5000 0.5000  8 Br 2.90
Br1 0.2500 0.2500 0.2500  4 Co 2.90, 4 P 2.90
P1 0.0000 0.0000 0.0000  8 Br 2.90
Br2 0.7500 0.7500 0.7500  4 Co 2.90, 4 P 2.90

=====

No. 14
The following is a DFT calculation (GGA-PBE) of crystalline LiMn3Pd at its relaxed geometry.

Computed properties:
Density of states at the Fermi level   6.1 states/eV per cell
Offset from the most stable computed form   0.468 eV per atom
M_tot   0.0002 μB/atom
Calculated formation energy   6.16 eV per formula unit
DFT total energy   -5.6904 eV per atom

a b c (Å): 3.8886 3.8886 3.8886
angles (deg): 90.00 90.00 90.00
Closest atoms and distances in Å follow each position.
Sites, in units of the cell vectors:
Mn1 0.5000 0.0000 0.0000  2 Li 1.94
Mn2 0.0000 0.0000 0.5000  2 Li 1.94
Pd1 0.5000 0.5000 0.5000  12 Mn 2.75
Mn3 0.0000 0.5000 0.0000  2 Li 1.94
Li1 0.0000 0.0000 0.0000  6 Mn 1.94

=====

No. 15
The following is a DFT calculation (GGA-PBE) of crystalline Pm2Ga4Co3Ni at its relaxed geometry.

Computed properties:
Density of states at the Fermi level   7.6 states/eV per cell
M_tot   0.0001 μB/atom
Calculated formation energy   -4.23 eV per formula unit
DFT total energy   -5.2941 eV per atom

a b c (Å): 4.1228 4.1228 9.8881
angles (deg): 90.00 90.00 90.00
Closest atoms and distances in Å follow each position.
Sites, in units of the cell vectors:
Ga1 0.5000 0.5000 0.0000  4 Co 2.44
Co1 0.0000 0.0000 0.5000  4 Ga 2.41
Ga2 0.5000 0.0000 0.6256  3 Co 2.40-2.41, 2 Ni 2.41
Ni1 0.5000 0.5000 0.5000  4 Ga 2.41
Pm1 0.0000 0.5000 0.7451  8 Ga 3.15-3.26, 6 Co 3.16-3.18, 2 Ni 3.18
Co2 0.0000 0.5000 0.1312  5 Ga 2.40-2.44
Pm2 0.5000 0.0000 0.2549  8 Ga 3.15-3.26, 6 Co 3.16-3.18, 2 Ni 3.18
Ga3 0.0000 0.5000 0.3744  3 Co 2.40-2.41, 2 Ni 2.41
Co3 0.5000 0.0000 0.8688  5 Ga 2.40-2.44
Ga4 0.0000 0.0000 0.0000  4 Co 2.44

=====

No. 16
The following is a DFT calculation (GGA-PBE) of crystalline Pm2Nd3TaN6 at its relaxed geometry.

Computed properties:
Density of states at the Fermi level   1.9 states/eV per cell
Formation energy without anion corrections   -130.03 kJ/mol of atoms
M_tot   0.0000 μB/atom
DFT total energy   -8.4818 eV per atom

a b c (Å): 6.1058 6.1058 6.0990
angles (deg): 99.57 99.57 119.95
Closest atoms and distances in Å follow each position.
Sites, in units of the cell vectors:
N1 0.7761 0.7761 0.2297  1 Ta 2.26, 2 Nd 2.48, 2 Pm 2.52
Nd1 0.1653 0.8347 0.5000  6 N 2.48-2.78
Pm1 0.6668 0.3332 0.0000  6 N 2.50-2.52
Nd2 0.5000 0.5000 0.5000  6 N 2.51-2.72
Ta1 0.0000 0.0000 0.0000  6 N 2.22-2.26
N2 0.2239 0.2239 0.7703  1 Ta 2.26, 2 Nd 2.48, 2 Pm 2.52
N3 0.9258 0.6283 0.7782  1 Ta 2.22
N4 0.3717 0.0742 0.2218  1 Ta 2.22
N5 0.0742 0.3717 0.2218  1 Ta 2.22
Nd3 0.8347 0.1653 0.5000  6 N 2.48-2.78
Pm2 0.3332 0.6668 0.0000  6 N 2.50-2.52
N6 0.6283 0.9258 0.7782  1 Ta 2.22

=====

No. 17
The following is a DFT calculation (GGA-PBE) of crystalline Th2OsPbAu at its relaxed geometry.

Computed properties:
Density of states at the Fermi level   7.7 states/eV per cell
M_tot   0.0000 μB/atom
Calculated formation energy   -0.70 eV per formula unit
DFT total energy   -6.7515 eV per atom

a b c (Å): 4.6705 8.5264 7.2053
angles (deg): 109.56 90.00 90.00
Closest atoms and distances in Å follow each position.
Sites, in units of the cell vectors:
Os1 0.7500 0.9299 0.4950  1 Th 2.61, 2 Os 2.61, 3 Au 2.91
Os2 0.2500 0.0701 0.5050  1 Th 2.61, 2 Os 2.61, 3 Au 2.91
Au1 0.2500 0.7207 0.4744  3 Os 2.91, 4 Th 2.97-3.16, 2 Pb 3.18
Th1 0.7500 0.1207 0.8634  1 Os 2.61
Th2 0.7500 0.6615 0.6964  3 Au 2.97-3.07, 1 Os 3.09
Pb1 0.7500 0.5852 0.1614  1 Os 3.11, 2 Au 3.18, 2 Pb 3.27, 2 Th 3.47
Th3 0.2500 0.8793 0.1366  1 Os 2.61
Th4 0.2500 0.3385 0.3036  3 Au 2.97-3.07, 1 Os 3.09
Pb2 0.2500 0.4148 0.8386  1 Os 3.11, 2 Au 3.18, 2 Pb 3.27, 2 Th 3.47
Au2 0.7500 0.2793 0.5256  3 Os 2.91, 4 Th 2.97-3.16, 2 Pb 3.18